Record 1
## Tl4Br3Cl (GGA-PBEsol)

Data for crystalline Tl4Br3Cl at its relaxed geometry.

a = 3.858 Å, b = 3.858 Å, c = 15.447 Å
α = 90.00°, β = 90.00°, γ = 90.00°
Space group P4/mmm (No. 123)
Unique sites:
Tl1 0.000 0.000 0.118
Tl2 0.000 0.000 0.373
Br1 0.500 0.500 0.245
Br2 0.500 0.500 0.500
Cl1 0.500 0.500 0.000

Calculated values
The total energy comes out at -3.069 eV/atom. Its total magnetization is 0.0 Bohr magnetons per cell. The theoretical density is 7.89 g/cm³. The value obtained for the uncorrected formation energy is -0.80 eV per atom.

---

Record 2
## LiLaOs (GGA-PBEsol)

Data for crystalline LiLaOs at its relaxed geometry.

a = 6.361 Å, b = 6.361 Å, c = 6.361 Å
α = 90.00°, β = 90.00°, γ = 90.00°
Space group F-43m (No. 216)
Unique sites:
Li1 0.000 0.000 0.000
La1 0.000 0.000 0.500
Os1 0.250 0.250 0.250

Calculated values
The total energy comes out at -6.165 eV/atom. Its total magnetization is 0.0 Bohr magnetons per cell. The theoretical density is 8.67 g/cm³. The calculation puts the formation enthalpy at 0 K at 1.0 eV per formula unit. Its offset from the most stable computed form is 0.0 meV/atom.

---

Record 3
## KSn2Te2 (GGA-PBEsol)

Data for crystalline KSn2Te2 at its relaxed geometry.

a = 5.842 Å, b = 5.842 Å, c = 10.155 Å
α = 90.00°, β = 90.00°, γ = 90.00°
Space group I4/mmm (No. 139)
Unique sites:
K1 0.000 0.000 0.000
Sn1 0.000 0.000 0.349
Te1 0.000 0.500 0.250

Calculated values
The total energy comes out at -3.726 eV/atom. Its total magnetization is 0.0 Bohr magnetons per cell. The theoretical density is 5.09 g/cm³. The value obtained for the uncorrected formation energy is -0.39 eV per atom.

---

Record 4
## KUCuS3 (GGA-PBEsol)

Data for crystalline KUCuS3 at its relaxed geometry.

a = 3.874 Å, b = 13.861 Å, c = 10.076 Å
α = 90.00°, β = 90.00°, γ = 90.00°
Space group Cmcm (No. 63)
Unique sites:
K1 0.000 0.243 0.250
U1 0.000 0.500 0.000
Cu1 0.000 0.032 0.750
S1 0.000 0.125 0.563
S2 0.000 0.437 0.750

Calculated values
The total energy comes out at -6.297 eV/atom. Its total magnetization is 8.0 Bohr magnetons per cell. The theoretical density is 5.36 g/cm³. The value obtained for the uncorrected formation energy is -1.17 eV per atom.

---

Record 5
## Zn2TeBr2O3 (GGA-PBEsol)

Data for crystalline Zn2TeBr2O3 at its relaxed geometry.

a = 10.533 Å, b = 15.945 Å, c = 7.645 Å
α = 90.00°, β = 90.00°, γ = 90.00°
Space group Pccn (No. 56)
Unique sites:
Zn1 0.007 0.108 0.159
Zn2 0.237 0.024 0.399
Te1 0.028 0.096 0.708
Br1 0.083 0.214 0.347
Br2 0.208 0.628 0.441
O1 0.058 0.011 0.308
O2 0.089 0.079 0.940
O3 0.190 0.055 0.644

Calculated values
The total energy comes out at -4.360 eV/atom. Its total magnetization is 0.0 Bohr magnetons per cell. The theoretical density is 4.82 g/cm³. The value obtained for the uncorrected formation energy is -1.09 eV per atom.

---

Record 6
## Mg2BeAs (GGA-PBEsol)

Data for crystalline Mg2BeAs at its relaxed geometry.

a = 4.196 Å, b = 4.196 Å, c = 3.802 Å
α = 90.00°, β = 90.00°, γ = 90.00°
Space group P4/mmm (No. 123)
Unique sites:
Mg1 0.000 0.500 0.000
Be1 0.000 0.000 0.500
As1 0.500 0.500 0.500

Calculated values
The total energy comes out at -3.080 eV/atom. Its total magnetization is 0.0 Bohr magnetons per cell. The theoretical density is 3.29 g/cm³. The calculation puts the formation enthalpy at 0 K at 0.2 eV per formula unit. Its offset from the most stable computed form is 0.0 meV/atom.

---

Record 7
## Cs2CuP (GGA-PBEsol)

Data for crystalline Cs2CuP at its relaxed geometry.

a = 8.193 Å, b = 8.193 Å, c = 8.193 Å
α = 90.00°, β = 90.00°, γ = 90.00°
Space group Fm-3m (No. 225)
Unique sites:
Cs1 0.250 0.250 0.250
Cu1 0.000 0.000 0.000
P1 0.000 0.000 0.500

Calculated values
The total energy comes out at -2.411 eV/atom. Its total magnetization is 5.3 Bohr magnetons per cell. The theoretical density is 4.35 g/cm³. The calculation puts the formation enthalpy at 0 K at 2.4 eV per formula unit.

---

Record 8
## BaCo2Os (GGA-PBEsol)

Data for crystalline BaCo2Os at its relaxed geometry.

a = 4.1030 Å, b = 4.1030 Å, c = 16.6992 Å
α = 90.00°, β = 90.00°, γ = 120.00°
Space group R-3m (No. 166, hexagonal axes)
Unique sites:
Ba1 0.0000 0.0000 0.0000
Co1 0.0000 0.0000 0.1835
Os1 0.0000 0.0000 0.5000

Calculated values
The total energy comes out at -7.119 eV/atom. Its total magnetization is 2.3 Bohr magnetons per cell. The theoretical density is 9.11 g/cm³. The calculation puts the formation enthalpy at 0 K at 1.4 eV per formula unit. Its offset from the most stable computed form is 0.0 meV/atom.

---

Record 9
## AgTe2Os (GGA-PBEsol)

Data for crystalline AgTe2Os at its relaxed geometry.

a = 6.828 Å, b = 6.828 Å, c = 6.828 Å
α = 90.00°, β = 90.00°, γ = 90.00°
Space group F-43m (No. 216)
Unique sites:
Ag1 0.000 0.000 0.000
Te1 0.000 0.000 0.500
Te2 0.250 0.250 0.250
Os1 0.250 0.250 0.750

Calculated values
The total energy comes out at -4.567 eV/atom. Its total magnetization is 0.0 Bohr magnetons per cell. The theoretical density is 11.55 g/cm³. The value obtained for the uncorrected formation energy is 1.08 eV per atom. Its offset from the most stable computed form is 535.6 meV/atom.

---

Record 10
## MnGeAs3 (GGA-PBEsol)

Data for crystalline MnGeAs3 at its relaxed geometry.

a = 4.836 Å, b = 4.836 Å, c = 4.836 Å
α = 90.00°, β = 90.00°, γ = 90.00°
Space group Pm-3m (No. 221)
Unique sites:
Mn1 0.000 0.000 0.000
Ge1 0.500 0.500 0.500
As1 0.000 0.500 0.500

Calculated values
The total energy comes out at -4.976 eV/atom. Its total magnetization is 4.1 Bohr magnetons per cell. The theoretical density is 5.17 g/cm³. The calculation puts the formation enthalpy at 0 K at 5.1 eV per formula unit.

---

Record 11
## La3TlF (GGA-PBEsol)

Data for crystalline La3TlF at its relaxed geometry.

a = 5.054 Å, b = 5.054 Å, c = 5.054 Å
α = 90.00°, β = 90.00°, γ = 90.00°
Space group Pm-3m (No. 221)
Unique sites:
La1 0.000 0.000 0.500
Tl1 0.500 0.500 0.500
F1 0.000 0.000 0.000

Calculated values
The total energy comes out at -5.312 eV/atom. Its total magnetization is 0.0 Bohr magnetons per cell. The theoretical density is 8.24 g/cm³. The value obtained for the uncorrected formation energy is -1.19 eV per atom. Its offset from the most stable computed form is 0.0 meV/atom.

---

Record 12
## CsBF2 (GGA-PBEsol)

Data for crystalline CsBF2 at its relaxed geometry.

a = 5.380 Å, b = 5.380 Å, c = 11.415 Å
α = 90.00°, β = 90.00°, γ = 90.00°
Space group I-42d (No. 122)
Unique sites:
Cs1 0.000 0.000 0.000
B1 0.000 0.000 0.500
F1 0.089 0.250 0.625

Calculated values
The total energy comes out at -3.841 eV/atom. Its total magnetization is 0.0 Bohr magnetons per cell. The theoretical density is 3.65 g/cm³. The value obtained for the uncorrected formation energy is -0.89 eV per atom. Its offset from the most stable computed form is 0.0 meV/atom.